# 1
VASP calculation (GGA-PBE) on crystalline CsSnTe2 at its relaxed geometry.

Lattice parameters (Å, degrees): 4.508 4.508 9.443 76.19 76.19 60.00
Element x y z (fractional)
Sn: 0.667 0.667 0.000
Te: 0.063 0.063 0.812
Cs: 0.500 0.500 0.499
Te: 0.270 0.270 0.189

Formation energy from raw total energies: -0.52 eV/atom
SG: No. 160

=====

# 2
VASP calculation (GGA-PBE) on crystalline BaIn4Pd2Rh at its relaxed geometry.

Lattice parameters (Å, degrees): 4.589 4.589 10.721 77.64 77.64 60.00
Element x y z (fractional)
Ba: 0.000 0.000 0.000
Pd: 0.227 0.227 0.320
In: 0.135 0.135 0.594
In: 0.865 0.865 0.406
In: 0.409 0.409 0.774
In: 0.591 0.591 0.226
Pd: 0.773 0.773 0.680
Rh: 0.500 0.500 0.500

Energy of formation: -0.48 eV/atom
SG: No. 166

=====

# 3
VASP calculation (GGA-PBE) on crystalline FeTeIr2 at its relaxed geometry.

Lattice parameters (Å, degrees): 4.760 4.760 4.823 81.33 81.33 36.16
Last column: magnetic moment on the atom in μB.
Element x y z (fractional)
Ir: 0.508 0.508 0.482  0.19
Te: 0.750 0.750 0.750  -0.01
Ir: 0.992 0.992 0.018  0.19
Fe: 0.250 0.250 0.250  2.76

Formation energy from raw total energies: 0.33 eV/atom
SG: No. 12

=====

| no. | spin magnetization (μB per atom) |
| --- | --- |
| 1 | 0.000 |
| 2 | 0.000 |
| 3 | 0.786 |